No. 1
HoTmGeSe: optimized geometry, PBE-GGA.

Lattice parameters (Å, degrees): 7.129 7.129 7.129 33.36 33.36 33.36
Element x y z (fractional)
Ho1 0.000 0.000 0.000
Tm1 0.509 0.509 0.509
Ge1 0.254 0.254 0.254
Se1 0.756 0.756 0.756

Values from the calculation:
The space group is R3m. The density of states at the Fermi level comes out at 0.95 states/eV/f.u.

***

No. 2
YHoGeSe: optimized geometry, PBE-GGA.

Lattice parameters (Å, degrees): 7.188 7.188 7.188 33.32 33.32 33.32
Element x y z (fractional)
Y1 0.000 0.000 0.000
Ho1 0.509 0.509 0.509
Ge1 0.254 0.254 0.254
Se1 0.755 0.755 0.755

Values from the calculation:
The space group is R3m. The density of states at the Fermi level comes out at 0.97 states/eV/f.u.

***

No. 3
Ho2SiGe2: optimized geometry, PBE-GGA.

Lattice parameters (Å, degrees): 4.245 5.730 9.540 77.40 77.17 68.28
Element x y z (fractional)
Ho1 0.022 0.137 0.321
Ho2 0.181 0.253 0.885
Ho3 0.819 0.747 0.115
Ho4 0.978 0.863 0.679
Si1 0.309 0.563 0.320
Si2 0.691 0.437 0.680
Ge1 0.362 0.226 0.550
Ge2 0.453 0.698 0.895
Ge3 0.547 0.302 0.105
Ge4 0.638 0.774 0.450

Values from the calculation:
The space group is P-1. The density of states at the Fermi level comes out at 2.30 states/eV/f.u.

***

No. 4
Ho6Si2Ge: optimized geometry, PBE-GGA.

Lattice parameters (Å, degrees): 6.151 7.934 11.261 90.00 121.47 90.00
Element x y z (fractional)
Ho1 0.085 0.168 0.441
Ho2 0.085 0.332 0.941
Ho3 0.308 0.685 0.436
Ho4 0.308 0.815 0.936
Ho5 0.406 0.043 0.268
Ho6 0.406 0.457 0.768
Ho7 0.594 0.543 0.232
Ho8 0.594 0.957 0.732
Ho9 0.692 0.185 0.064
Ho10 0.692 0.315 0.564
Ho11 0.915 0.668 0.059
Ho12 0.915 0.832 0.559
Si1 0.178 0.119 0.751
Si2 0.178 0.381 0.251
Si3 0.822 0.619 0.749
Si4 0.822 0.881 0.249
Ge1 0.000 0.000 0.000
Ge2 0.000 0.500 0.500

Values from the calculation:
The space group is P2_1/c. The density of states at the Fermi level comes out at 7.70 states/eV/f.u.

***

No. 5
Ho2SiGe: optimized geometry, PBE-GGA.

Lattice parameters (Å, degrees): 5.702 3.886 8.293 90.00 107.64 90.00
Element x y z (fractional)
Ho1 0.205 0.250 0.428
Ho2 0.287 0.750 0.068
Ho3 0.713 0.250 0.932
Ho4 0.795 0.750 0.572
Si1 0.129 0.250 0.790
Si2 0.871 0.750 0.210
Ge1 0.373 0.750 0.709
Ge2 0.627 0.250 0.291

Values from the calculation:
The space group is P2_1/m. The density of states at the Fermi level comes out at 2.66 states/eV/f.u.

***

No. 6
Ho3SiGe: optimized geometry, PBE-GGA.

Lattice parameters (Å, degrees): 7.089 7.090 7.737 62.74 62.74 60.05
Element x y z (fractional)
Ho1 0.058 0.436 0.255
Ho2 0.249 0.941 0.745
Ho3 0.435 0.751 0.256
Ho4 0.565 0.249 0.744
Ho5 0.751 0.059 0.255
Ho6 0.942 0.564 0.745
Si1 0.344 0.344 0.467
Si2 0.656 0.656 0.533
Ge1 0.157 0.156 0.031
Ge2 0.843 0.844 0.969

Values from the calculation:
The space group is P-1. The density of states at the Fermi level comes out at 4.21 states/eV/f.u.

***

Number 1: E_tot -5.65 eV/atom. Number 2: E_tot -6.18 eV/atom. Number 3: E_tot -5.39 eV/atom. Number 4: E_tot -5.25 eV/atom. Number 5: E_tot -5.64 eV/atom. Number 6: E_tot -5.25 eV/atom.